Below is an optimized crystal structure of Ac8Ir5Pt, with properties calculated at the PBE level.

Lattice parameters (Å, degrees): 8.0890 8.0890 8.0890 109.32 109.77 109.32
Last column: nearest neighbours and their distance in Å.
Positions (direct):
Ac 0.1222 0.7524 0.9975  2 Ir 2.99-3.00, 1 Pt 3.06
Ac 0.0025 0.1248 0.7550  2 Ir 2.99-3.00, 1 Pt 3.06
Ac 0.7402 0.2484 0.3727  3 Ir 2.99-3.02
Ac 0.6273 0.3675 0.8757  3 Ir 2.99-3.02
Ac 0.5082 0.6325 0.2598  3 Ir 2.99-3.02
Ac 0.6302 0.8752 0.8778  2 Ir 2.99-3.00, 1 Pt 3.06
Ac 0.2450 0.2476 0.3698  2 Ir 2.99-3.00, 1 Pt 3.06
Ac 0.1243 0.7516 0.4918  3 Ir 2.99-3.02
Ir 0.0035 0.3762 0.1241  4 Ac 2.99-3.02
Ir 0.8759 0.8794 0.2521  4 Ac 2.99-3.02
Ir 0.7479 0.6238 0.6273  4 Ac 2.99-3.02
Ir 0.5000 0.0000 0.5000  4 Ac 3.00
Ir 0.3727 0.1206 0.9965  4 Ac 2.99-3.02
Pt 0.2500 0.5000 0.7500  4 Ac 3.06

Values from the calculation:
total moment: 0.000 μB per atom
mass density: 12.11 Mg/m³
ΔH_f (0 K): -931 kJ/mol of formula units

***

Below is an optimized crystal structure of Ac8IrPt2, with properties calculated at the PBE level.

Lattice parameters (Å, degrees): 4.2253 9.7891 10.2742 93.22 101.87 90.00
Last column: nearest neighbours and their distance in Å.
Positions (direct):
Ac 0.5972 0.5389 0.1944  2 Pt 3.09
Ac 0.3497 0.0328 0.6994  1 Ir 3.06, 2 Pt 3.12
Ac 0.2262 0.3292 0.4525  2 Pt 3.17
Ac 0.9902 0.7937 0.9803  2 Ir 2.92
Ac 0.7738 0.6708 0.5475  2 Pt 3.17
Ac 0.6503 0.9672 0.3006  1 Ir 3.06, 2 Pt 3.12
Ac 0.4028 0.4611 0.8056  2 Pt 3.09
Ac 0.0098 0.2063 0.0197  2 Ir 2.92
Ir 0.5000 0.0000 0.0000  6 Ac 2.92-3.06
Pt 0.1622 0.7347 0.3243  6 Ac 3.09-3.17
Pt 0.8378 0.2653 0.6757  6 Ac 3.09-3.17

Values from the calculation:
total moment: 0.000 μB per atom
mass density: 9.59 Mg/m³
ΔH_f (0 K): -628 kJ/mol of formula units

***

Below is an optimized crystal structure of Ac3IrPt, with properties calculated at the PBE level.

Lattice parameters (Å, degrees): 4.4683 11.3058 8.2470 60.56 74.28 78.60
Last column: nearest neighbours and their distance in Å.
Positions (direct):
Ac 0.0280 0.1964 0.7476  1 Ir 2.94, 2 Pt 3.02
Ac 0.9720 0.8036 0.2524  1 Ir 2.94, 2 Pt 3.02
Ac 0.6460 0.4885 0.2194  3 Ir 3.02-3.05, 1 Pt 3.12
Ac 0.3540 0.5115 0.7806  3 Ir 3.02-3.05, 1 Pt 3.12
Ac 0.6975 0.8603 0.7447  2 Ir 3.05, 3 Pt 3.13-3.14
Ac 0.3025 0.1397 0.2553  2 Ir 3.05, 3 Pt 3.13-3.14
Ir 0.1624 0.6791 0.9961  6 Ac 2.94-3.05
Ir 0.8376 0.3209 0.0039  6 Ac 2.94-3.05
Pt 0.3415 0.8221 0.4949  6 Ac 3.02-3.14
Pt 0.6585 0.1779 0.5051  6 Ac 3.02-3.14

Values from the calculation:
total moment: 0.000 μB per atom
mass density: 10.19 Mg/m³
distance to the lowest polymorph of the same formula: 0 meV per atom
ΔH_f (0 K): -386 kJ/mol of formula units

***

Below is an optimized crystal structure of Ac4Ir2Pt, with properties calculated at the PBE level.

Lattice parameters (Å, degrees): 4.3973 7.5592 8.2527 116.46 105.45 90.00
Last column: nearest neighbours and their distance in Å.
Positions (direct):
Ac 0.1344 0.4602 0.2688  3 Ir 2.97-2.99, 1 Pt 3.13
Ac 0.8656 0.5398 0.7312  3 Ir 2.97-2.99, 1 Pt 3.13
Ac 0.3651 0.0188 0.7301  3 Ir 3.01-3.06, 2 Pt 3.12
Ac 0.6349 0.9812 0.2699  3 Ir 3.01-3.06, 2 Pt 3.12
Ir 0.2590 0.2612 0.5179  6 Ac 2.97-3.06
Ir 0.7410 0.7388 0.4821  6 Ac 2.97-3.06
Pt 0.0000 0.0000 0.0000  6 Ac 3.12-3.13

Values from the calculation:
total moment: 0.000 μB per atom
mass density: 10.53 Mg/m³
distance to the lowest polymorph of the same formula: 16 meV per atom
ΔH_f (0 K): -508 kJ/mol of formula units